{
  "formula": "PrScIn2Au4",
  "functional": "GGA-PBE",
  "state": "optimized geometry",
  "formation_enthalpy_0k_kcal_per_mol_atoms": -14.867,
  "space_group": "R-3m (166)",
  "crystal_system": "trigonal",
  "dos_ef_per_ev_atom": 0.635,
  "lattice": [[2.4307, 1.4034, 8.3869], [-2.4307, 1.4034, 8.3869], [0.0000, -2.8067, 8.3869]],
  "species": ["Pr", "Sc", "In", "In", "Au", "Au", "Au", "Au"],
  "frac_coords": [[0.0000, 0.0000, 0.0000], [0.5000, 0.5000, 0.5000], [0.2488, 0.2488, 0.2488], [0.7512, 0.7512, 0.7512], [0.1334, 0.1334, 0.1334], [0.3877, 0.3877, 0.3877], [0.6123, 0.6123, 0.6123], [0.8666, 0.8666, 0.8666]]
}